Entry 1:
Ba5Na2Ir2 | PBE | optimized geometry

Lattice parameters (Å, degrees): 8.5115 8.4851 11.4136 90.00 68.11 90.00
Sites, in units of the cell vectors:
Ba1 0.0000 0.0000 0.0000
Ba2 0.5000 0.5000 0.0000
Ba3 0.4233 0.1775 0.7979
Ba4 0.7788 0.8225 0.7979
Ba5 0.2788 0.6775 0.7979
Ba6 0.9233 0.3225 0.7979
Ba7 0.5767 0.8225 0.2021
Ba8 0.2212 0.1775 0.2021
Ba9 0.7212 0.3225 0.2021
Ba10 0.0767 0.6775 0.2021
Na1 0.2316 0.0000 0.5368
Na2 0.7316 0.5000 0.5368
Na3 0.7684 0.0000 0.4632
Na4 0.2684 0.5000 0.4632
Ir1 0.1090 0.3909 0.0000
Ir2 0.8910 0.6091 0.0000
Ir3 0.3910 0.8909 0.0000
Ir4 0.6090 0.1091 0.0000

## Properties
Crystal system = orthorhombic
Calculated formation energy = -0.0699 eV/atom

---

Entry 2:
Cu4Si4Pb4C4ClO28 | PBE | optimized geometry

Lattice parameters (Å, degrees): 6.1308 10.4642 10.4642 85.08 72.97 72.97
Sites, in units of the cell vectors:
Cu1 0.0000 0.5000 0.0000
Cu2 0.5000 0.5000 0.0000
Cu3 0.5000 0.0000 0.5000
Cu4 0.0000 0.0000 0.5000
Si1 0.3875 0.2273 0.9977
Si2 0.6125 0.7727 0.0023
Si3 0.6148 0.9977 0.7727
Si4 0.3852 0.0023 0.2273
Pb1 0.9685 0.2620 0.8009
Pb2 0.0315 0.7380 0.1991
Pb3 0.2306 0.8009 0.7380
Pb4 0.7694 0.1991 0.2620
C1 0.1464 0.2846 0.4225
C2 0.8536 0.7154 0.5775
C3 0.4311 0.4225 0.7154
C4 0.5689 0.5775 0.2846
Cl1 0.0000 0.0000 0.0000
O1 0.5753 0.3137 0.9911
O2 0.8800 0.6863 0.0089
O3 0.8889 0.9911 0.6863
O4 0.5663 0.0089 0.3137
O5 0.4247 0.6863 0.0089
O6 0.1200 0.3137 0.9911
O7 0.1111 0.0089 0.3137
O8 0.4337 0.9911 0.6863
O9 0.8058 0.4886 0.8998
O10 0.1942 0.5114 0.1002
O11 0.2944 0.8998 0.5114
O12 0.7056 0.1002 0.4886
O13 0.3662 0.1355 0.1321
O14 0.6338 0.8645 0.8679
O15 0.5017 0.1321 0.8645
O16 0.4983 0.8679 0.1355
O17 0.1387 0.2014 0.5211
O18 0.8613 0.7986 0.4789
O19 0.3402 0.5211 0.7986
O20 0.6598 0.4789 0.2014
O21 0.3315 0.3252 0.3735
O22 0.0302 0.6748 0.6265
O23 0.6566 0.3735 0.6748
O24 0.7050 0.6265 0.3252
O25 0.6685 0.6748 0.6265
O26 0.9698 0.3252 0.3735
O27 0.3434 0.6265 0.3252
O28 0.2950 0.3735 0.6748

## Properties
Formation energy from raw total energies = -1.340 eV per atom
Crystal system = tetragonal

---

Entry 3:
RbMoBr2 | PBE | optimized geometry

Lattice parameters (Å, degrees): 5.5444 5.5444 5.5444 60.00 60.00 60.00
Sites, in units of the cell vectors:
Mo1 0.5000 0.5000 0.5000
Br1 0.2500 0.2500 0.2500
Br2 0.7500 0.7500 0.7500
Rb1 0.0000 0.0000 0.0000

## Properties
Energy relative to the lowest polymorph listed for this composition = 205 meV per atom
Formation energy from raw total energies = 0.032 eV per atom
Crystal system = cubic

---

Entry 4:
AlHg2C | PBE | optimized geometry

Lattice parameters (Å, degrees): 4.6666 4.6666 4.6666 60.00 60.00 60.00
Sites, in units of the cell vectors:
C1 0.0000 0.0000 0.0000
Hg1 0.2500 0.2500 0.2500
Hg2 0.7500 0.7500 0.7500
Al1 0.5000 0.5000 0.5000

## Properties
Energy relative to the lowest polymorph listed for this composition = 239 meV per atom
Crystal system = cubic
Calculated formation energy = 1.4427 eV/atom

---

Which formula does entry 3 have? RbMoBr2